# 1
Compound: DySc5P6
Source: the Alexandria database
Functional: PBE-GGA
Structure: relaxed

The calculation puts the formation enthalpy at 0 K at -17.97 eV per formula unit.

The space group is C2/m (No. 12) and the conventional cell measures 6.5856, 11.4050 and 6.5836 Å, with angles of 90.00, 109.51 and 90.00 degrees. The asymmetric unit holds Dy at (0.0000, 0.0000, 0.0000), Sc at (0.0000, 0.1646, 0.5000), Sc at (0.0000, 0.3328, 0.0000), Sc at (0.0000, 0.5000, 0.5000), P at (0.2429, 0.5000, 0.2544) and P at (0.2437, 0.3291, 0.7443).


# 2
Compound: Ac4Pt2I
Source: the Alexandria database
Functional: PBE-GGA
Structure: relaxed

The value obtained for the formation energy without anion corrections is -100 kJ/mol of atoms.

The space group is R-3m (No. 166, hexagonal axes) and the conventional cell measures 4.4602, 4.4602 and 47.5283 Å, with angles of 90.00, 90.00 and 120.00 degrees. The asymmetric unit holds Ac at (0.0000, 0.0000, 0.1254), Ac at (0.0000, 0.0000, 0.2758), Pt at (0.0000, 0.0000, 0.4249) and I at (0.0000, 0.0000, 0.0000).


# 3
Compound: BePtPb2
Source: the Alexandria database
Functional: PBE-GGA
Structure: relaxed

The calculation puts the formation enthalpy at 0 K at 1.34 eV per formula unit.

The space group is C2/m (No. 12) and the conventional cell measures 6.7251, 3.6987 and 7.3584 Å, with angles of 90.00, 106.26 and 90.00 degrees. The asymmetric unit holds Be at (0.0000, 0.0000, 0.0000), Pt at (0.0000, 0.5000, 0.5000) and Pb at (0.2489, 0.5000, 0.2460).


| no. | calculated total energy (eV for the cell shown) | magnetic moment (μB per formula unit) |
| --- | --- | --- |
| 1 | -173.38 | 0.000 |
| 2 | -111.91 | 0.000 |
| 3 | -31.68 | 0.000 |